{
  "formula": "NaZrTlAg2",
  "functional": "PBE",
  "state": "relaxed",
  "lattice_angstrom": [[5.1742, 0.0000, 0.0000], [0.0000, 5.1742, 0.0000], [0.0000, 0.0000, 5.1418]],
  "species": ["Na", "Zr", "Tl", "Ag", "Ag"],
  "fractional_positions": [[0.0000, 0.0000, 0.0000], [0.5000, 0.5000, 0.0000], [0.0000, 0.0000, 0.5000], [0.0000, 0.5000, 0.5000], [0.5000, 0.0000, 0.5000]],
  "dft_energy_ev_per_atom": -2.632,
  "crystal_system": "tetragonal",
  "n_ef_per_ev_cell": 7.238,
  "magnetic_moment_mub_per_fu": 0.002,
  "space_group": "P4/mmm, No. 123",
  "delta_e_f_ev_per_atom": 0.96
}

{
  "formula": "Cs2HfInS4",
  "functional": "PBE",
  "state": "relaxed",
  "lattice_angstrom": [[0.0000, 7.3756, 12.4294], [3.3987, 0.0000, 12.4294], [3.3987, 7.3756, 0.0000]],
  "species": ["Cs", "Cs", "Cs", "Cs", "Hf", "Hf", "In", "In", "S", "S", "S", "S", "S", "S", "S", "S"],
  "fractional_positions": [[0.0546, 0.0546, 0.6954], [0.3046, 0.3046, 0.9454], [0.6954, 0.6954, 0.0546], [0.9454, 0.9454, 0.3046], [0.1250, 0.1250, 0.1250], [0.8750, 0.8750, 0.8750], [0.3750, 0.3750, 0.3750], [0.6250, 0.6250, 0.6250], [0.0492, 0.3048, 0.3850], [0.2389, 0.6150, 0.6952], [0.3048, 0.0492, 0.7611], [0.3850, 0.7611, 0.0492], [0.6150, 0.2389, 0.9508], [0.6952, 0.9508, 0.2389], [0.7611, 0.3850, 0.3048], [0.9508, 0.6952, 0.6150]],
  "dft_energy_ev_per_atom": -5.006,
  "crystal_system": "orthorhombic",
  "n_ef_per_ev_cell": 6.616,
  "formation_energy_uncorrected_ev_per_atom": -1.142,
  "magnetic_moment_mub_per_fu": 0.000,
  "space_group": "Fddd, No. 70"
}

{
  "formula": "HfAl2Au2",
  "functional": "PBE",
  "state": "relaxed",
  "lattice_angstrom": [[-1.9568, 1.9568, 6.0015], [1.9568, -1.9568, 6.0015], [1.9568, 1.9568, -6.0015]],
  "species": ["Hf", "Al", "Al", "Au", "Au"],
  "fractional_positions": [[0.0000, 0.0000, 0.0000], [0.2500, 0.7500, 0.5000], [0.7500, 0.2500, 0.5000], [0.3891, 0.3891, 0.0000], [0.6109, 0.6109, 0.0000]],
  "dft_energy_ev_per_atom": -5.179,
  "crystal_system": "tetragonal",
  "polymorph_energy_mev_per_atom": 0,
  "n_ef_per_ev_cell": 2.012,
  "magnetic_moment_mub_per_fu": 0.000,
  "space_group": "I4/mmm, No. 139",
  "delta_e_f_ev_per_atom": -0.38
}

Question: Which formula does entry 3 have?
Answer: HfAl2Au2